CuIr2Pt after structural relaxation. Source: Alexandria via LeMat-Bulk, functional PBE.

Calculated values
Density in g/cm³: 18.3
Crystal system: cubic
Calculated formation energy in kcal/mol of atoms: 7.2
Relative energy among the computed polymorphs in meV/atom: 307.8
SG: No. 216
DOS(E_F) in states/eV per atom: 1.398

Unit cell a=4.3543 b=4.3543 c=4.3543 alpha=60.00 beta=60.00 gamma=60.00
Fractional positions:
Cu  0.5000  0.5000  0.5000
Ir  0.0000  0.0000  0.0000
Ir  0.7500  0.7500  0.7500
Pt  0.2500  0.2500  0.2500